Compound: SrScTl
Source: Alexandria
Functional: PBE
Structure: relaxed

Raw total energy = -10.7 eV for the cell shown
SG = P3m1, No. 156

```
SrScTl
1.0
-2.363 0.578 -4.632
2.772 -4.323 1.001
-3.294 -1.774 1.459
Sr Sc Tl
1 1 1
direct
0.667 0.333 0.333
0.000 0.000 0.832
0.333 0.667 0.835
```

=====

Compound: SrScTl2
Source: Alexandria
Functional: PBE
Structure: relaxed

Raw total energy = -25.6 eV for the cell shown
SG = I-42d, No. 122

```
SrScTl2
1.0
8.483 0.000 0.000
0.000 8.483 0.000
4.242 4.242 3.591
Tl Sr Sc
4 2 2
direct
0.165 0.625 0.250
0.585 0.125 0.250
0.875 0.835 0.750
0.375 0.415 0.750
0.000 0.000 0.000
0.750 0.250 0.500
0.500 0.500 0.000
0.250 0.750 0.500
```